## ZnCdAsSe2 (PBE-GGA)

Data for a relaxed structure of ZnCdAsSe2.

Values from the calculation:
calculated total energy: -11.65 eV for the cell shown
energy relative to the elements, uncorrected: 0.432 eV per atom
relative energy among the computed polymorphs: 0 meV per atom

Unit cell a=5.078 b=5.078 c=4.706 alpha=90.00 beta=90.00 gamma=90.00
Space group P4/mmm (No. 123)
Inequivalent atoms, fractional coordinates:
Zn (0.000, 0.000, 0.000) x1
Cd (0.500, 0.500, 0.500) x1
As (0.000, 0.000, 0.500) x1
Se (0.000, 0.500, 0.000) x2